The following is a GGA-PBE calculation of a relaxed P3Cl crystal, from Alexandria.

It has space group Im-3m (No. 229), with a = 5.169 Å, b = 5.169 Å, c = 5.169 Å, α = 90.00°, β = 90.00° and γ = 90.00°. The inequivalent atoms are P at (0.000, 0.000, 0.500) and Cl at (0.000, 0.000, 0.000).

The total DFT energy (no corrections) comes out at -3.89 eV per atom. As for the uncorrected formation energy: 0.625 eV/atom. The value obtained for the excess energy over the best structure of this formula in the dataset is 407 meV/atom. The crystal system is cubic.